#a
CaGd2Sn: optimized geometry, PBE-GGA.

Cell: 5.4871 5.4871 5.4871 Å, 60.00 60.00 60.00°
Closest atoms and distances in Å follow each position.
Fractional positions:
Gd  0.7500  0.7500  0.7500  4 Sn 3.36, 4 Ca 3.36
Sn  0.5000  0.5000  0.5000  8 Gd 3.36
Ca  0.0000  0.0000  0.0000  8 Gd 3.36
Gd  0.2500  0.2500  0.2500  4 Sn 3.36, 4 Ca 3.36

Properties
Space group: Fm-3m
Magnetization: 3.83 μB per atom



#b
CaGd2Sn: optimized geometry, PBE-GGA.

Cell: 4.8847 4.9084 4.9084 Å, 90.00 90.00 90.00°
Closest atoms and distances in Å follow each position.
Fractional positions:
Sn  0.5000  0.0000  0.0000  8 Gd 3.46, 4 Ca 3.47
Ca  0.5000  0.5000  0.5000  8 Gd 3.46, 4 Sn 3.47
Gd  0.0000  0.5000  0.0000  4 Sn 3.46, 4 Ca 3.46, 4 Gd 3.47
Gd  0.0000  0.0000  0.5000  4 Sn 3.46, 4 Ca 3.46, 4 Gd 3.47

Properties
Space group: P4/mmm
Magnetization: 3.81 μB per atom



Which of them is most stable, and which least? Most stable: #b; least stable: #a.



#a
Sr2CaGd: optimized geometry, PBE-GGA.

Cell: 3.9604 3.9604 11.3945 Å, 90.00 90.00 90.00°
Closest atoms and distances in Å follow each position.
Fractional positions:
Ca  0.5000  0.5000  0.5000  4 Ca 3.96, 8 Sr 4.09
Sr  0.0000  0.0000  0.2382  4 Gd 3.90, 4 Sr 3.96, 4 Ca 4.09
Gd  0.5000  0.5000  0.0000  8 Sr 3.90, 4 Gd 3.96
Sr  0.0000  0.0000  0.7618  4 Gd 3.90, 4 Sr 3.96, 4 Ca 4.09

Properties
Space group: P4/mmm
Magnetization: 2.09 μB per atom



#b
Sr2CaGd: optimized geometry, PBE-GGA.

Cell: 4.3577 6.3514 6.3514 Å, 90.00 90.00 90.00°
Closest atoms and distances in Å follow each position.
Fractional positions:
Gd  0.5000  0.5000  0.5000  8 Sr 3.85
Sr  0.0000  0.5000  0.0000  4 Gd 3.85, 4 Ca 3.85
Sr  0.0000  0.0000  0.5000  4 Gd 3.85, 4 Ca 3.85
Ca  0.5000  0.0000  0.0000  8 Sr 3.85

Properties
Space group: P4/mmm
Magnetization: 1.86 μB per atom



Which of them is most stable, and which least? Most stable: #a; least stable: #b.



#a
Sr2CaGd: optimized geometry, PBE-GGA.

Cell: 6.2945 6.2945 6.2945 Å, 60.00 60.00 60.00°
Closest atoms and distances in Å follow each position.
Fractional positions:
Gd  0.0000  0.0000  0.0000  8 Sr 3.85
Ca  0.5000  0.5000  0.5000  8 Sr 3.85
Sr  0.7500  0.7500  0.7500  4 Ca 3.85, 4 Gd 3.85
Sr  0.2500  0.2500  0.2500  4 Gd 3.85, 4 Ca 3.85

Properties
Space group: Fm-3m
Magnetization: 1.86 μB per atom



#b
Sr2CaGd: optimized geometry, PBE-GGA.

Cell: 3.8607 3.8607 14.0703 Å, 82.11 82.11 60.00°
Closest atoms and distances in Å follow each position.
Fractional positions:
Sr  0.0860  0.0860  0.7421  1 Gd 3.58, 6 Sr 3.86
Sr  0.9140  0.9140  0.2579  1 Gd 3.58, 6 Sr 3.86
Ca  0.5000  0.5000  0.5000  6 Ca 3.86, 6 Sr 4.03
Gd  0.0000  0.0000  0.0000  2 Sr 3.58, 6 Gd 3.86

Properties
Space group: R-3m
Magnetization: 1.98 μB per atom



Which of them is most stable, and which least? Most stable: #a; least stable: #b.



#a
SrCaGd2: optimized geometry, PBE-GGA.

Cell: 3.6931 3.6931 13.4201 Å, 82.09 82.09 60.00°
Closest atoms and distances in Å follow each position.
Fractional positions:
Gd  0.0892  0.0892  0.7323  1 Sr 3.55, 6 Gd 3.69, 3 Ca 3.74
Ca  0.5000  0.5000  0.5000  6 Ca 3.69, 6 Gd 3.74
Sr  0.0000  0.0000  0.0000  2 Gd 3.55, 6 Sr 3.69
Gd  0.9108  0.9108  0.2677  1 Sr 3.55, 6 Gd 3.69, 3 Ca 3.74

Properties
Space group: R-3m
Magnetization: 3.89 μB per atom



#b
SrCaGd2: optimized geometry, PBE-GGA.

Cell: 4.1280 4.1280 9.1936 Å, 90.00 90.00 90.00°
Closest atoms and distances in Å follow each position.
Fractional positions:
Gd  0.0000  0.0000  0.7835  4 Ca 3.53, 4 Sr 3.91
Ca  0.5000  0.5000  0.0000  8 Gd 3.53
Gd  0.0000  0.0000  0.2165  4 Ca 3.53, 4 Sr 3.91
Sr  0.5000  0.5000  0.5000  8 Gd 3.91, 4 Sr 4.13

Properties
Space group: P4/mmm
Magnetization: 3.79 μB per atom



Which of them is most stable, and which least? Most stable: #b; least stable: #a.



#a
SrCa2Gd: optimized geometry, PBE-GGA.

Cell: 3.9165 3.9165 10.9474 Å, 90.00 90.00 90.00°
Closest atoms and distances in Å follow each position.
Fractional positions:
Ca  0.0000  0.0000  0.7259  4 Gd 3.71, 4 Ca 3.92, 4 Sr 4.08
Sr  0.5000  0.5000  0.0000  4 Sr 3.92, 8 Ca 4.08
Gd  0.5000  0.5000  0.5000  8 Ca 3.71, 4 Gd 3.92
Ca  0.0000  0.0000  0.2741  4 Gd 3.71, 4 Ca 3.92, 4 Sr 4.08

Properties
Space group: P4/mmm
Magnetization: 2.05 μB per atom



#b
SrCa2Gd: optimized geometry, PBE-GGA.

Cell: 4.2313 6.2650 6.2650 Å, 90.00 90.00 90.00°
Closest atoms and distances in Å follow each position.
Fractional positions:
Gd  0.5000  0.5000  0.5000  8 Ca 3.78, 2 Gd 4.23
Sr  0.5000  0.0000  0.0000  8 Ca 3.78, 2 Sr 4.23
Ca  0.0000  0.5000  0.0000  4 Gd 3.78, 4 Sr 3.78, 2 Ca 4.23
Ca  0.0000  0.0000  0.5000  4 Gd 3.78, 4 Sr 3.78, 2 Ca 4.23

Properties
Space group: P4/mmm
Magnetization: 2.04 μB per atom



#c
SrCa2Gd: optimized geometry, PBE-GGA.

Cell: 3.7711 3.7711 13.8631 Å, 82.18 82.18 60.00°
Closest atoms and distances in Å follow each position.
Fractional positions:
Ca  0.0843  0.0843  0.7471  1 Gd 3.46, 6 Ca 3.77
Sr  0.5000  0.5000  0.5000  6 Sr 3.77, 6 Ca 4.02
Ca  0.9157  0.9157  0.2529  1 Gd 3.46, 6 Ca 3.77
Gd  0.0000  0.0000  0.0000  2 Ca 3.46, 6 Gd 3.77

Properties
Space group: R-3m
Magnetization: 1.97 μB per atom



#d
SrCa2Gd: optimized geometry, PBE-GGA.

Cell: 6.1685 6.1685 6.1685 Å, 60.00 60.00 60.00°
Closest atoms and distances in Å follow each position.
Fractional positions:
Ca  0.2500  0.2500  0.2500  4 Sr 3.78, 4 Gd 3.78
Ca  0.7500  0.7500  0.7500  4 Sr 3.78, 4 Gd 3.78
Sr  0.5000  0.5000  0.5000  8 Ca 3.78
Gd  0.0000  0.0000  0.0000  8 Ca 3.78

Properties
Space group: Fm-3m
Magnetization: 1.98 μB per atom



Which of them is most stable, and which least? Most stable: #a; least stable: #c.



#a
CaTb2Gd: optimized geometry, PBE-GGA.

Cell: 3.6308 3.6308 10.3307 Å, 90.00 90.00 90.00°
Closest atoms and distances in Å follow each position.
Fractional positions:
Tb  0.0000  0.0000  0.2322  4 Gd 3.51, 4 Tb 3.63, 4 Ca 3.77
Tb  0.0000  0.0000  0.7678  4 Gd 3.51, 4 Tb 3.63, 4 Ca 3.77
Gd  0.5000  0.5000  0.0000  8 Tb 3.51, 4 Gd 3.63
Ca  0.5000  0.5000  0.5000  4 Ca 3.63, 8 Tb 3.77

Properties
Space group: P4/mmm
Magnetization: 1.71 μB per atom



#b
CaTb2Gd: optimized geometry, PBE-GGA.

Cell: 3.5526 3.5526 12.7790 Å, 82.01 82.01 60.00°
Closest atoms and distances in Å follow each position.
Fractional positions:
Ca  0.0000  0.0000  0.0000  2 Tb 3.44, 6 Ca 3.55
Tb  0.0910  0.0910  0.7270  1 Ca 3.44, 3 Gd 3.52, 6 Tb 3.55
Tb  0.9090  0.9090  0.2730  1 Ca 3.44, 3 Gd 3.52, 6 Tb 3.55
Gd  0.5000  0.5000  0.5000  6 Tb 3.52, 6 Gd 3.55

Properties
Space group: R-3m
Magnetization: 1.75 μB per atom



#c
CaTb2Gd: optimized geometry, PBE-GGA.

Cell: 5.1344 5.1217 5.1217 Å, 90.00 90.00 90.00°
Closest atoms and distances in Å follow each position.
Fractional positions:
Tb  0.0000  0.0000  0.5000  4 Tb 3.62, 4 Gd 3.63, 4 Ca 3.63
Tb  0.0000  0.5000  0.0000  4 Tb 3.62, 4 Gd 3.63, 4 Ca 3.63
Gd  0.5000  0.0000  0.0000  4 Ca 3.62, 8 Tb 3.63
Ca  0.5000  0.5000  0.5000  4 Gd 3.62, 8 Tb 3.63

Properties
Space group: P4/mmm
Magnetization: 1.94 μB per atom



Which of them is most stable, and which least? Most stable: #a; least stable: #b.